PBE ErSiPd2, optimized geometry; energy relative to the elements, uncorrected = -0.817 eV/atom; final energy = -5.9097 eV per atom; space group = R-3m; theoretical density = 9.37 g/cm3
1.0
4.3134 0.0000 0.0000
2.1567 3.7355 0.0000
2.1567 1.2452 4.4917
Er Pd Si
1 2 1
Direct
0.5000 0.5000 0.5000
0.2847 0.2847 0.1458
0.7153 0.7153 0.8542
0.0000 0.0000 0.0000

PBE Er2SiPd, optimized geometry; energy relative to the elements, uncorrected = -0.852 eV/atom; final energy = -5.7871 eV per atom; space group = P2_1/m; theoretical density = 8.83 g/cm3
1.0
4.2390 0.0000 0.0000
0.0000 5.7543 0.0692
0.0000 -2.7802 7.2021
Pd Er Si
2 4 2
Direct
0.2500 0.3607 0.7145
0.7500 0.6393 0.2855
0.7500 0.2182 0.9177
0.2500 0.7812 0.5627
0.2500 0.7818 0.0823
0.7500 0.2188 0.4373
0.2500 0.3335 0.2080
0.7500 0.6665 0.7920

PBE Er2SiPd, optimized geometry; energy relative to the elements, uncorrected = -0.736 eV/atom; final energy = -5.6714 eV per atom; space group = P4/mmm; theoretical density = 9.19 g/cm3
1.0
-1.4813 2.8701 1.6879
-1.2715 -2.8277 3.6925
4.2177 0.9119 2.1508
Er Pd Si
2 1 1
Direct
0.0000 0.5000 0.0000
0.0000 0.0000 0.5000
0.5000 0.5000 0.5000
0.5000 0.0000 0.0000

PBE ErSi4Pd6, optimized geometry; energy relative to the elements, uncorrected = -0.789 eV/atom; final energy = -6.0078 eV per atom; space group = P-6m2; theoretical density = 8.91 g/cm3
1.0
3.8494 0.0000 0.0000
0.0000 6.2042 -3.5820
0.0000 0.0000 7.1640
Si Pd Er
4 6 1
Direct
0.5000 0.8084 0.6168
0.0000 0.3333 0.6667
0.5000 0.8084 0.1916
0.5000 0.3832 0.1916
0.5000 0.1973 0.8027
0.5000 0.6055 0.8027
0.5000 0.1973 0.3946
0.0000 0.5344 0.0688
0.0000 0.5344 0.4656
0.0000 0.9312 0.4656
0.0000 0.0000 0.0000

PBE ErSi4Pd4, optimized geometry; energy relative to the elements, uncorrected = -0.590 eV/atom; final energy = -5.8153 eV per atom; space group = P4_2/nmc; theoretical density = 7.89 g/cm3
1.0
6.0212 0.0000 0.0000
0.0000 6.0212 0.0000
0.0000 0.0000 8.1907
Si Pd Er
8 8 2
Direct
0.0000 0.7033 0.6816
0.7033 0.0000 0.3184
0.2033 0.5000 0.1816
0.5000 0.2033 0.8184
0.2967 0.0000 0.3184
0.7967 0.5000 0.1816
0.0000 0.2967 0.6816
0.5000 0.7967 0.8184
0.0000 0.2675 0.3834
0.2325 0.5000 0.8834
0.5000 0.2325 0.1166
0.2675 0.0000 0.6166
0.0000 0.7325 0.3834
0.7325 0.0000 0.6166
0.5000 0.7675 0.1166
0.7675 0.5000 0.8834
0.5000 0.5000 0.5000
0.0000 0.0000 0.0000

PBE Er3Si4Pd2, optimized geometry; energy relative to the elements, uncorrected = -0.886 eV/atom; final energy = -5.9716 eV per atom; space group = C2/m; theoretical density = 8.15 g/cm3
1.0
4.2185 0.0000 0.0000
-2.1093 5.1483 -0.1396
0.0000 -2.2707 7.8234
Si Er Pd
4 3 2
Direct
0.0843 0.1685 0.4185
0.2763 0.5527 0.9384
0.9157 0.8315 0.5815
0.7237 0.4473 0.0616
0.6339 0.2678 0.6913
0.3661 0.7322 0.3087
0.0000 0.0000 0.0000
0.6625 0.3251 0.3265
0.3375 0.6749 0.6735

PBE ErSi6Pd12, optimized geometry; energy relative to the elements, uncorrected = -0.625 eV/atom; final energy = -5.8574 eV per atom; space group = R-3m; theoretical density = 8.77 g/cm3
1.0
-2.2687 -4.1269 -5.2922
-3.3192 -2.3198 5.8127
-2.6587 6.4366 -1.2989
Pd Si Er
12 6 1
Direct
0.8312 0.5727 0.5727
0.5000 0.1243 0.8757
0.5000 0.8757 0.1243
0.4273 0.4273 0.1688
0.1243 0.8757 0.5000
0.1243 0.5000 0.8757
0.5727 0.8312 0.5727
0.1688 0.4273 0.4273
0.4273 0.1688 0.4273
0.8757 0.1243 0.5000
0.5727 0.5727 0.8312
0.8757 0.5000 0.1243
0.7462 0.7462 0.3070
0.2538 0.2538 0.6930
0.2538 0.6930 0.2538
0.7462 0.3070 0.7462
0.6930 0.2538 0.2538
0.3070 0.7462 0.7462
0.0000 0.0000 0.0000

PBE ErSiPd2, optimized geometry; energy relative to the elements, uncorrected = -0.987 eV/atom; final energy = -6.0802 eV per atom; space group = Pnma; theoretical density = 9.67 g/cm3
1.0
-3.1121 -3.8545 2.4079
2.5919 -4.8235 -4.3712
5.3588 -1.3861 4.7071
Er Pd Si
4 8 4
Direct
0.8600 0.2500 0.4735
0.3600 0.7500 0.0265
0.6400 0.2500 0.9735
0.1400 0.7500 0.5265
0.4059 0.4483 0.3212
0.9059 0.9483 0.1788
0.9059 0.5517 0.1788
0.0941 0.4483 0.8212
0.0941 0.0517 0.8212
0.5941 0.5517 0.6788
0.5941 0.9483 0.6788
0.4059 0.0517 0.3212
0.1394 0.2500 0.1217
0.3606 0.2500 0.6217
0.6394 0.7500 0.3783
0.8606 0.7500 0.8783

- Look up the energy relative to the elements, uncorrected of the fourth one.
  -0.789 eV/atom

Please write out number 4 again, unchanged.
PBE ErSi4Pd6, optimized geometry; energy relative to the elements, uncorrected = -0.789 eV/atom; final energy = -6.0078 eV per atom; space group = P-6m2; theoretical density = 8.91 g/cm3
1.0
3.8494 0.0000 0.0000
0.0000 6.2042 -3.5820
0.0000 0.0000 7.1640
Si Pd Er
4 6 1
Direct
0.5000 0.8084 0.6168
0.0000 0.3333 0.6667
0.5000 0.8084 0.1916
0.5000 0.3832 0.1916
0.5000 0.1973 0.8027
0.5000 0.6055 0.8027
0.5000 0.1973 0.3946
0.0000 0.5344 0.0688
0.0000 0.5344 0.4656
0.0000 0.9312 0.4656
0.0000 0.0000 0.0000